Record 1
Er2Cd3 after structural relaxation, computed with PBE.

a = 4.9965 Å, b = 4.9965 Å, c = 17.2601 Å
α = 90.00°, β = 90.00°, γ = 120.00°
Space group R-3m (No. 166, hexagonal axes)
One atom of each set of equivalent atoms:
Er1 0.0000 0.0000 0.0986 (multiplicity 6)
Cd1 0.0000 0.0000 0.3081 (multiplicity 6)
Cd2 0.0000 0.0000 0.5000 (multiplicity 3)

Properties
**Raw total energy**: -2.60 eV/atom
**Energy relative to the elements**: -0.23 eV/atom
**Distance to the lowest polymorph of the same formula**: 0.0453 eV/atom

***

Record 2
Er3Cd after structural relaxation, computed with PBE.

a = 3.768 Å, b = 5.310 Å, c = 11.266 Å
α = 90.00°, β = 90.00°, γ = 90.00°
Space group Immm (No. 71)
One atom of each set of equivalent atoms:
Er1 0.000 0.000 0.000 (multiplicity 2)
Er2 0.000 0.500 0.224 (multiplicity 4)
Cd1 0.000 0.000 0.500 (multiplicity 2)

Properties
**Raw total energy**: -3.79 eV/atom
**Energy relative to the elements**: -0.14 eV/atom
**Distance to the lowest polymorph of the same formula**: 0.0013 eV/atom

***

Record 3
Er3Cd7 after structural relaxation, computed with PBE.

a = 16.440 Å, b = 4.913 Å, c = 6.405 Å
α = 90.00°, β = 112.45°, γ = 90.00°
Space group C2/m (No. 12)
One atom of each set of equivalent atoms:
Er1 0.000 0.000 0.000 (multiplicity 2)
Er2 0.205 0.000 0.785 (multiplicity 4)
Cd1 0.000 0.000 0.500 (multiplicity 2)
Cd2 0.091 0.500 0.845 (multiplicity 4)
Cd3 0.108 0.500 0.367 (multiplicity 4)
Cd4 0.199 0.000 0.289 (multiplicity 4)

Properties
**Raw total energy**: -2.25 eV/atom
**Energy relative to the elements**: -0.24 eV/atom

***

Record 4
ErCd11 after structural relaxation, computed with PBE.

a = 11.974 Å, b = 11.974 Å, c = 7.702 Å
α = 90.00°, β = 90.00°, γ = 90.00°
Space group I4_1/amd (No. 141, origin choice 2)
One atom of each set of equivalent atoms:
Er1 0.000 0.250 0.375 (multiplicity 4)
Cd1 0.000 0.000 0.000 (multiplicity 8)
Cd2 0.000 0.250 0.875 (multiplicity 4)
Cd3 0.120 0.051 0.667 (multiplicity 32)

Properties
**Raw total energy**: -1.24 eV/atom
**Energy relative to the elements**: -0.02 eV/atom

***

Record 5
Er3Cd5 after structural relaxation, computed with PBE.

a = 7.550 Å, b = 10.313 Å, c = 5.047 Å
α = 90.00°, β = 90.00°, γ = 90.00°
Space group Cmmm (No. 65)
One atom of each set of equivalent atoms:
Er1 0.000 0.000 0.000 (multiplicity 2)
Er2 0.000 0.264 0.500 (multiplicity 4)
Cd1 0.000 0.500 0.000 (multiplicity 2)
Cd2 0.244 0.000 0.500 (multiplicity 4)
Cd3 0.250 0.250 0.000 (multiplicity 4)

Properties
**Raw total energy**: -2.56 eV/atom
**Energy relative to the elements**: -0.28 eV/atom

***

Record 6
Er3Cd4 after structural relaxation, computed with PBE.

a = 5.1559 Å, b = 5.1559 Å, c = 25.3153 Å
α = 90.00°, β = 90.00°, γ = 120.00°
Space group R-3m (No. 166, hexagonal axes)
One atom of each set of equivalent atoms:
Er1 0.0000 0.0000 0.0000 (multiplicity 3)
Er2 0.0000 0.0000 0.2496 (multiplicity 6)
Cd1 0.0000 0.0000 0.1268 (multiplicity 6)
Cd2 0.0000 0.0000 0.3797 (multiplicity 6)

Properties
**Raw total energy**: -2.59 eV/atom
**Energy relative to the elements**: -0.11 eV/atom

***

Record 7
Er4Cd after structural relaxation, computed with PBE.

a = 5.203 Å, b = 6.702 Å, c = 16.230 Å
α = 90.00°, β = 90.00°, γ = 90.00°
Space group Imma (No. 74)
One atom of each set of equivalent atoms:
Er1 0.000 0.000 0.000 (multiplicity 4)
Er2 0.000 0.003 0.196 (multiplicity 8)
Er3 0.000 0.250 0.605 (multiplicity 4)
Cd1 0.000 0.250 0.388 (multiplicity 4)

Properties
**Raw total energy**: -3.83 eV/atom
**Energy relative to the elements**: 0.00 eV/atom
**Distance to the lowest polymorph of the same formula**: 0.0000 eV/atom

***

Record 8
Er2Cd17 after structural relaxation, computed with PBE.

a = 10.0139 Å, b = 10.0139 Å, c = 15.0095 Å
α = 90.00°, β = 90.00°, γ = 120.00°
Space group R-3m (No. 166, hexagonal axes)
One atom of each set of equivalent atoms:
Er1 0.0000 0.0000 0.1726 (multiplicity 6)
Cd1 0.0000 0.0000 0.3982 (multiplicity 6)
Cd2 0.0000 0.3032 0.5000 (multiplicity 18)
Cd3 0.0000 0.5000 0.0000 (multiplicity 9)
Cd4 0.0162 0.5081 0.6460 (multiplicity 18)

Properties
**Raw total energy**: -1.37 eV/atom
**Energy relative to the elements**: -0.08 eV/atom

***

Record 9
Er3Cd after structural relaxation, computed with PBE.

a = 7.624 Å, b = 7.624 Å, c = 7.624 Å
α = 90.00°, β = 90.00°, γ = 90.00°
Space group Fm-3m (No. 225)
One atom of each set of equivalent atoms:
Er1 0.000 0.000 0.000 (multiplicity 4)
Er2 0.250 0.250 0.250 (multiplicity 8)
Cd1 0.000 0.000 0.500 (multiplicity 4)

Properties
**Raw total energy**: -3.66 eV/atom
**Energy relative to the elements**: -0.01 eV/atom
**Distance to the lowest polymorph of the same formula**: 0.1335 eV/atom

***

Record 10
Er3Cd11 after structural relaxation, computed with PBE.

a = 4.749 Å, b = 10.956 Å, c = 12.689 Å
α = 90.00°, β = 90.00°, γ = 90.00°
Space group Immm (No. 71)
One atom of each set of equivalent atoms:
Er1 0.000 0.000 0.000 (multiplicity 2)
Er2 0.000 0.000 0.283 (multiplicity 4)
Cd1 0.000 0.158 0.500 (multiplicity 4)
Cd2 0.000 0.277 0.150 (multiplicity 8)
Cd3 0.000 0.373 0.366 (multiplicity 8)
Cd4 0.000 0.500 0.000 (multiplicity 2)

Properties
**Raw total energy**: -1.89 eV/atom
**Energy relative to the elements**: -0.19 eV/atom

***

Record 11
Er2Cd3 after structural relaxation, computed with PBE.

a = 3.439 Å, b = 29.366 Å, c = 4.931 Å
α = 90.00°, β = 90.00°, γ = 90.00°
Space group Cmcm (No. 63)
One atom of each set of equivalent atoms:
Er1 0.000 0.075 0.250 (multiplicity 4)
Er2 0.000 0.216 0.750 (multiplicity 4)
Cd1 0.000 0.325 0.750 (multiplicity 4)
Cd2 0.000 0.379 0.250 (multiplicity 4)
Cd3 0.000 0.476 0.250 (multiplicity 4)

Properties
**Raw total energy**: -2.65 eV/atom
**Energy relative to the elements**: -0.28 eV/atom
**Distance to the lowest polymorph of the same formula**: 0.0000 eV/atom

***

Record 12
Er4Cd after structural relaxation, computed with PBE.

a = 5.599 Å, b = 5.599 Å, c = 5.599 Å
α = 90.00°, β = 90.00°, γ = 90.00°
Space group Pm-3m (No. 221)
One atom of each set of equivalent atoms:
Er1 0.000 0.000 0.000 (multiplicity 1)
Er2 0.000 0.500 0.500 (multiplicity 3)
Cd1 0.500 0.500 0.500 (multiplicity 1)

Properties
**Raw total energy**: -3.39 eV/atom
**Energy relative to the elements**: 0.45 eV/atom
**Distance to the lowest polymorph of the same formula**: 0.4450 eV/atom